LiCe2Ga7: relaxed, PBE-GGA.

Formation energy from the elements (eV per atom): -0.443
Crystal system: tetragonal
Density of states at the Fermi level (states/eV/cell): 13.71

abc: 4.256 4.256 10.887
angles: 90.00 90.00 90.00
Site moments in Bohr magnetons follow the coordinates.
Atoms (fractional coordinates):
Li1 0.500 0.500 0.000  0.00
Ce1 0.500 0.000 0.747  0.84
Ce2 0.000 0.500 0.253  0.84
Ga1 0.000 0.500 0.867  0.00
Ga2 0.500 0.000 0.360  0.00
Ga3 0.500 0.000 0.133  0.00
Ga4 0.000 0.500 0.640  0.00
Ga5 0.000 0.000 0.500  -0.01
Ga6 0.000 0.000 0.000  0.00
Ga7 0.500 0.500 0.500  0.00

---

Li3Ce2Ga4: relaxed, PBE-GGA.

Formation energy from the elements (eV per atom): -0.325
Crystal system: orthorhombic
Density of states at the Fermi level (states/eV/cell): 26.27

abc: 5.725 7.684 8.587
angles: 90.00 109.47 90.00
Site moments in Bohr magnetons follow the coordinates.
Atoms (fractional coordinates):
Li1 0.000 0.000 0.000  0.00
Li2 0.500 0.500 0.000  0.00
Li3 0.515 0.750 0.529  0.00
Li4 0.985 0.250 0.471  0.00
Li5 0.485 0.250 0.471  0.00
Li6 0.015 0.750 0.529  0.00
Ce1 0.095 0.609 0.190  0.69
Ce2 0.905 0.391 0.810  0.69
Ce3 0.405 0.109 0.810  0.69
Ce4 0.595 0.891 0.190  0.69
Ga1 0.677 0.750 0.854  0.00
Ga2 0.823 0.250 0.146  0.00
Ga3 0.323 0.250 0.146  0.00
Ga4 0.177 0.750 0.854  0.00
Ga5 0.164 0.993 0.327  -0.01
Ga6 0.836 0.007 0.673  -0.01
Ga7 0.336 0.493 0.673  -0.01
Ga8 0.664 0.507 0.327  -0.01

---

Li2CeGa9: relaxed, PBE-GGA.

Formation energy from the elements (eV per atom): -0.269
Crystal system: tetragonal
Density of states at the Fermi level (states/eV/cell): 6.19

abc: 4.201 4.201 12.377
angles: 90.00 90.00 90.00
Atoms (fractional coordinates):
Li1 0.000 0.000 0.337
Li2 0.000 0.000 0.663
Ce1 0.000 0.000 0.000
Ga1 0.500 0.500 0.000
Ga2 0.500 0.500 0.338
Ga3 0.500 0.500 0.662
Ga4 0.500 0.000 0.182
Ga5 0.500 0.000 0.500
Ga6 0.500 0.000 0.818
Ga7 0.000 0.500 0.182
Ga8 0.000 0.500 0.500
Ga9 0.000 0.500 0.818

---

LiCeGa: relaxed, PBE-GGA.

Formation energy from the elements (eV per atom): -0.202
Crystal system: tetragonal
Density of states at the Fermi level (states/eV/cell): 3.52

abc: 3.068 3.068 6.751
angles: 103.13 103.13 90.00
Site moments in Bohr magnetons follow the coordinates.
Atoms (fractional coordinates):
Ce1 0.274 0.274 0.548  0.16
Ga1 0.598 0.598 0.196  0.00
Li1 0.978 0.978 0.955  0.00

---

LiCe2Ga5: relaxed, PBE-GGA.

Formation energy from the elements (eV per atom): -0.410
Crystal system: tetragonal
Density of states at the Fermi level (states/eV/cell): 11.17

abc: 6.192 6.192 6.192
angles: 91.75 118.99 118.99
Site moments in Bohr magnetons follow the coordinates.
Atoms (fractional coordinates):
Li1 0.000 0.938 0.938  0.00
Ce1 0.500 0.253 0.753  0.54
Ce2 0.500 0.753 0.253  0.54
Ga1 0.426 0.718 0.718  0.01
Ga2 0.000 0.718 0.292  0.01
Ga3 0.000 0.292 0.718  0.01
Ga4 0.574 0.292 0.292  0.01
Ga5 0.000 0.256 0.256  0.00

---

LiCe5Ga6: relaxed, PBE-GGA.

Formation energy from the elements (eV per atom): -0.438
Crystal system: monoclinic
Density of states at the Fermi level (states/eV/cell): 21.95

abc: 5.316 6.622 8.220
angles: 66.25 86.06 90.00
Site moments in Bohr magnetons follow the coordinates.
Atoms (fractional coordinates):
Ce1 0.721 0.188 0.624  0.45
Ce2 0.311 0.344 0.312  0.70
Ce3 0.000 0.500 0.000  0.74
Ce4 0.689 0.656 0.688  0.70
Ce5 0.279 0.812 0.376  0.45
Ga1 0.795 0.637 0.300  -0.01
Ga2 0.795 0.064 0.300  -0.01
Ga3 0.500 0.796 0.000  -0.01
Ga4 0.500 0.204 0.000  -0.01
Ga5 0.205 0.936 0.700  -0.01
Ga6 0.205 0.363 0.700  -0.01
Li1 0.000 0.000 0.000  -0.01

---

LiCe3Ga4: relaxed, PBE-GGA.

Formation energy from the elements (eV per atom): -0.272
Crystal system: orthorhombic
Density of states at the Fermi level (states/eV/cell): 12.13

abc: 3.088 6.162 9.948
angles: 108.04 98.93 90.00
Site moments in Bohr magnetons follow the coordinates.
Atoms (fractional coordinates):
Li1 0.500 0.000 0.000  0.00
Ce1 0.243 0.243 0.487  0.21
Ce2 0.757 0.757 0.513  0.21
Ce3 0.000 0.500 0.000  0.56
Ga1 0.383 0.653 0.766  0.00
Ga2 0.617 0.347 0.234  0.00
Ga3 0.617 0.887 0.234  0.00
Ga4 0.383 0.113 0.766  0.00

---

LiCe3Ga8: relaxed, PBE-GGA.

Formation energy from the elements (eV per atom): -0.441
Crystal system: trigonal
Density of states at the Fermi level (states/eV/cell): 17.42

abc: 5.525 5.525 9.622
angles: 73.32 73.32 60.00
Site moments in Bohr magnetons follow the coordinates.
Atoms (fractional coordinates):
Li1 0.875 0.875 0.376  0.00
Ce1 0.374 0.374 0.878  0.63
Ce2 0.997 0.997 0.010  0.68
Ce3 0.503 0.503 0.492  0.63
Ga1 0.938 0.437 0.187  0.00
Ga2 0.438 0.938 0.686  0.00
Ga3 0.437 0.437 0.187  0.00
Ga4 0.938 0.938 0.686  0.00
Ga5 0.187 0.187 0.438  0.00
Ga6 0.688 0.688 0.937  0.00
Ga7 0.437 0.938 0.187  0.00
Ga8 0.938 0.438 0.686  0.00